Density functional theory data (GGA-PBE) for PrSnAsPd2 after structural relaxation.

- relative energy among the computed polymorphs (meV per atom) = 34.5
- total DFT energy (no corrections) (eV/atom) = -5.586

Lattice parameters (Å, degrees): 4.580 4.580 10.162 90.00 90.00 90.00
Space group P4/nmm (No. 129, origin choice 2)
Inequivalent atoms, fractional coordinates:
Pr  0.250  0.250  0.234 x2
Sn  0.250  0.250  0.636 x2
As  0.250  0.750  0.000 x2
Pd  0.250  0.250  0.894 x2
Pd  0.250  0.750  0.500 x2